PBE+U Li2Ti2Mn3O10, optimized geometry; total DFT energy (no corrections) = -7.504 eV/atom
1.0
5.0650 0.0000 0.0000
0.8103 5.1091 0.0000
1.7965 1.6155 7.3376
Li Ti Mn O
2 2 3 10
direct
0.0189 0.2645 0.4045
0.9811 0.7355 0.5955
0.4907 0.6335 0.3185
0.5093 0.3665 0.6815
0.0000 0.5000 0.0000
0.4833 0.8072 0.8941
0.5167 0.1928 0.1059
0.2344 0.6823 0.7855
0.2722 0.4177 0.5162
0.2825 0.5267 0.1372
0.2946 0.1539 0.9365
0.3047 0.9624 0.3284
0.6953 0.0376 0.6716
0.7054 0.8461 0.0635
0.7175 0.4733 0.8628
0.7278 0.5823 0.4838
0.7656 0.3177 0.2145